Compound: CoAsS
Source: OQMD via LeMat-Bulk
Functional: GGA-PBE
Structure: relaxed

Lattice parameters (Å, degrees): 5.569 5.608 5.602 90.00 92.28 90.00
Sites, in units of the cell vectors:
Co1 0.000 0.000 0.000
Co2 0.000 0.500 0.500
Co3 0.500 0.000 0.500
Co4 0.500 0.500 0.000
As1 0.123 0.124 0.627
As2 0.123 0.376 0.127
As3 0.877 0.624 0.873
As4 0.877 0.876 0.373
S1 0.373 0.618 0.614
S2 0.373 0.882 0.114
S3 0.627 0.118 0.886
S4 0.627 0.382 0.386

Uncorrected energy: -5.540 eV per atom
Total magnetic moment: 0.00 μB per formula unit
Energy above the lowest structure with this stoichiometry: 199 meV per atom

***

Compound: CoAsS
Source: OQMD via LeMat-Bulk
Functional: GGA-PBE
Structure: relaxed

Lattice parameters (Å, degrees): 4.909 6.072 6.642 90.00 90.00 90.00
Sites, in units of the cell vectors:
Co1 0.001 0.050 0.000
Co2 0.499 0.050 0.500
Co3 0.501 0.950 0.000
Co4 0.999 0.950 0.500
As1 0.216 0.771 0.769
As2 0.284 0.771 0.269
As3 0.716 0.229 0.769
As4 0.784 0.229 0.269
S1 0.174 0.283 0.504
S2 0.326 0.283 0.004
S3 0.674 0.717 0.504
S4 0.826 0.717 0.004

Uncorrected energy: -5.437 eV per atom
Total magnetic moment: 0.00 μB per formula unit
Energy above the lowest structure with this stoichiometry: 301 meV per atom

***

Compound: CoAsS
Source: OQMD via LeMat-Bulk
Functional: GGA-PBE
Structure: relaxed

Lattice parameters (Å, degrees): 5.577 5.581 5.572 90.00 90.00 90.00
Sites, in units of the cell vectors:
Co1 0.006 0.239 0.000
Co2 0.494 0.239 0.500
Co3 0.506 0.761 0.000
Co4 0.994 0.761 0.500
As1 0.121 0.629 0.118
As2 0.379 0.629 0.618
As3 0.621 0.371 0.118
As4 0.879 0.371 0.618
S1 0.119 0.129 0.379
S2 0.381 0.129 0.879
S3 0.619 0.871 0.379
S4 0.881 0.871 0.879

Uncorrected energy: -5.738 eV per atom
Total magnetic moment: 0.01 μB per formula unit
Energy above the lowest structure with this stoichiometry: 0 meV per atom

***

Compound: CoAsS
Source: OQMD via LeMat-Bulk
Functional: GGA-PBE
Structure: relaxed

Lattice parameters (Å, degrees): 5.575 5.575 5.575 90.00 90.00 90.00
Sites, in units of the cell vectors:
Co1 0.008 0.008 0.008
Co2 0.492 0.992 0.508
Co3 0.508 0.492 0.992
Co4 0.992 0.508 0.492
As1 0.122 0.622 0.878
As2 0.378 0.378 0.378
As3 0.622 0.878 0.122
As4 0.878 0.122 0.622
S1 0.119 0.881 0.381
S2 0.381 0.119 0.881
S3 0.619 0.619 0.619
S4 0.881 0.381 0.119

Uncorrected energy: -5.735 eV per atom
Total magnetic moment: 0.00 μB per formula unit
Energy above the lowest structure with this stoichiometry: 3 meV per atom

***

Compound: Co2SbAs
Source: OQMD via LeMat-Bulk
Functional: GGA-PBE
Structure: relaxed

Lattice parameters (Å, degrees): 3.717 6.477 5.104 90.00 90.00 90.00
Sites, in units of the cell vectors:
Co1 0.000 0.004 0.000
Co2 0.000 0.996 0.500
Co3 0.500 0.495 0.998
Co4 0.500 0.505 0.498
Sb1 0.000 0.331 0.742
Sb2 0.000 0.669 0.242
As1 0.500 0.167 0.252
As2 0.500 0.833 0.752

Uncorrected energy: -5.900 eV per atom
Total magnetic moment: 0.00 μB per formula unit

***

Compound: Co2SbAs
Source: OQMD via LeMat-Bulk
Functional: GGA-PBE
Structure: relaxed

Lattice parameters (Å, degrees): 3.724 5.121 6.418 90.00 90.00 90.00
Sites, in units of the cell vectors:
Co1 0.000 0.236 0.000
Co2 0.000 0.762 0.007
Co3 0.500 0.238 0.507
Co4 0.500 0.764 0.500
Sb1 0.000 0.505 0.669
Sb2 0.500 0.495 0.169
As1 0.000 0.004 0.338
As2 0.500 0.996 0.838

Uncorrected energy: -5.925 eV per atom
Total magnetic moment: 0.01 μB per formula unit

***

Compound: Co2SbAs
Source: OQMD via LeMat-Bulk
Functional: GGA-PBE
Structure: relaxed

Lattice parameters (Å, degrees): 5.138 3.712 6.374 90.00 90.04 90.00
Sites, in units of the cell vectors:
Co1 0.004 0.250 0.226
Co2 0.495 0.250 0.220
Co3 0.505 0.750 0.780
Co4 0.996 0.750 0.774
Sb1 0.253 0.250 0.584
Sb2 0.747 0.750 0.416
As1 0.245 0.750 0.086
As2 0.755 0.250 0.914

Uncorrected energy: -5.966 eV per atom
Total magnetic moment: 0.01 μB per formula unit

***

Compound: Sc2Co12As7
Source: OQMD via LeMat-Bulk
Functional: GGA-PBE
Structure: relaxed

Lattice parameters (Å, degrees): 9.287 9.287 3.641 90.00 90.00 120.00
Sites, in units of the cell vectors:
Sc1 0.000 0.000 0.000
Sc2 0.333 0.667 0.500
Co1 0.044 0.770 0.500
Co2 0.102 0.387 0.000
Co3 0.230 0.274 0.500
Co4 0.285 0.898 0.000
Co5 0.435 0.232 0.000
Co6 0.509 0.055 0.500
Co7 0.546 0.491 0.500
Co8 0.613 0.715 0.000
Co9 0.726 0.956 0.500
Co10 0.768 0.203 0.000
Co11 0.797 0.565 0.000
Co12 0.945 0.454 0.500
As1 0.078 0.626 0.000
As2 0.254 0.042 0.500
As3 0.374 0.452 0.000
As4 0.548 0.922 0.000
As5 0.667 0.333 0.500
As6 0.788 0.746 0.500
As7 0.958 0.212 0.500

Uncorrected energy: -6.660 eV per atom
Total magnetic moment: 5.51 μB per formula unit

***

Compound: ScCo2As
Source: OQMD via LeMat-Bulk
Functional: GGA-PBE
Structure: relaxed

Lattice parameters (Å, degrees): 4.308 4.308 4.308 60.00 60.00 60.00
Sites, in units of the cell vectors:
Sc1 0.000 0.000 0.000
Co1 0.500 0.500 0.500
Co2 0.750 0.750 0.750
As1 0.250 0.250 0.250

Uncorrected energy: -6.453 eV per atom
Total magnetic moment: 2.39 μB per formula unit

***

Compound: ScCo2As
Source: OQMD via LeMat-Bulk
Functional: GGA-PBE
Structure: relaxed

Lattice parameters (Å, degrees): 4.263 4.263 4.263 60.00 60.00 60.00
Sites, in units of the cell vectors:
Sc1 0.000 0.000 0.000
Co1 0.250 0.250 0.250
Co2 0.500 0.500 0.500
As1 0.750 0.750 0.750

Uncorrected energy: -6.385 eV per atom
Total magnetic moment: 0.00 μB per formula unit

***

Compound: YScCoAs
Source: OQMD via LeMat-Bulk
Functional: GGA-PBE
Structure: relaxed

Lattice parameters (Å, degrees): 4.652 4.652 4.652 60.00 60.00 60.00
Sites, in units of the cell vectors:
Y1 0.000 0.000 0.000
Sc1 0.250 0.250 0.250
Co1 0.750 0.750 0.750
As1 0.500 0.500 0.500

Uncorrected energy: -6.205 eV per atom
Total magnetic moment: 0.12 μB per formula unit
Energy above the lowest structure with this stoichiometry: 0 meV per atom

***

Compound: ScZnCoAs
Source: OQMD via LeMat-Bulk
Functional: GGA-PBE
Structure: relaxed

Lattice parameters (Å, degrees): 4.413 4.413 4.413 60.00 60.00 60.00
Sites, in units of the cell vectors:
Sc1 0.000 0.000 0.000
Zn1 0.250 0.250 0.250
Co1 0.500 0.500 0.500
As1 0.750 0.750 0.750

Uncorrected energy: -5.119 eV per atom
Total magnetic moment: 0.94 μB per formula unit
Energy above the lowest structure with this stoichiometry: 0 meV per atom